*one*
The following is a PBE calculation of a relaxed structure of PmTm3Tl3, from the Alexandria database.

The structure in CIF format:
```
data_PmTm3Tl3
_cell_length_a 9.3697
_cell_length_b 9.3697
_cell_length_c 5.2162
_cell_angle_alpha 90.00
_cell_angle_beta 90.00
_cell_angle_gamma 120.00
_symmetry_space_group_name_H-M 'P 63/m'
_symmetry_Int_Tables_number 176
_symmetry_space_group_name_Hall '-P 6c'
loop_
_atom_site_label
_atom_site_type_symbol
_atom_site_fract_x
_atom_site_fract_y
_atom_site_fract_z
_atom_site_occupancy
Pm1 Pm 0.3333 0.6667 0.2500 1
Tm1 Tm 0.0020 0.2293 0.2500 1
Tl1 Tl 0.0727 0.4479 0.7500 1
```



*two*
The following is a PBE calculation of a relaxed structure of PmTm3Tl3, from the Alexandria database.

The structure in CIF format:
```
data_PmTm3Tl3
_cell_length_a 9.311
_cell_length_b 9.311
_cell_length_c 9.311
_cell_angle_alpha 90.00
_cell_angle_beta 90.00
_cell_angle_gamma 90.00
_symmetry_space_group_name_H-M 'P 21 3'
_symmetry_Int_Tables_number 198
_symmetry_space_group_name_Hall 'P 2ac 2ab 3'
loop_
_atom_site_label
_atom_site_type_symbol
_atom_site_fract_x
_atom_site_fract_y
_atom_site_fract_z
_atom_site_occupancy
Pm1 Pm 0.063 0.437 0.563 1
Tm1 Tm 0.092 0.592 0.908 1
Tm2 Tm 0.176 0.176 0.176 1
Tm3 Tm 0.184 0.816 0.316 1
Tl1 Tl 0.000 0.271 0.887 1
```



Short version: *one*, *two*, most stable first.



*one*
The following is a PBE calculation of a relaxed structure of Pm2TmTl2, from the Alexandria database.

The structure in CIF format:
```
data_Pm2TmTl2
_cell_length_a 5.115
_cell_length_b 17.568
_cell_length_c 6.613
_cell_angle_alpha 90.00
_cell_angle_beta 90.00
_cell_angle_gamma 90.00
_symmetry_space_group_name_H-M 'C m c 21'
_symmetry_Int_Tables_number 36
loop_
_symmetry_equiv_pos_as_xyz
'x,y,z'
'-x,-y,z+1/2'
'-x,y,z'
'x,-y,z+1/2'
'x+1/2,y+1/2,z'
'-x+1/2,-y+1/2,z+1/2'
'-x+1/2,y+1/2,z'
'x+1/2,-y+1/2,z+1/2'
loop_
_atom_site_label
_atom_site_type_symbol
_atom_site_fract_x
_atom_site_fract_y
_atom_site_fract_z
_atom_site_occupancy
Pm1 Pm 0.000 0.011 0.000 1
Pm2 Pm 0.000 0.199 0.444 1
Tm1 Tm 0.000 0.391 0.232 1
Tl1 Tl 0.000 0.196 0.948 1
Tl2 Tl 0.000 0.411 0.747 1
```



*two*
The following is a PBE calculation of a relaxed structure of Pm2TmTl2, from the Alexandria database.

The structure in CIF format:
```
data_Pm2TmTl2
_cell_length_a 8.170
_cell_length_b 8.170
_cell_length_c 4.556
_cell_angle_alpha 90.00
_cell_angle_beta 90.00
_cell_angle_gamma 90.00
_symmetry_space_group_name_H-M 'P 4/m b m'
_symmetry_Int_Tables_number 127
_symmetry_space_group_name_Hall '-P 4 2ab'
loop_
_atom_site_label
_atom_site_type_symbol
_atom_site_fract_x
_atom_site_fract_y
_atom_site_fract_z
_atom_site_occupancy
Pm1 Pm 0.172 0.328 0.000 1
Tm1 Tm 0.000 0.000 0.500 1
Tl1 Tl 0.131 0.631 0.500 1
```



Short version: *two*, *one*, most stable first.



*one*
The following is a PBE calculation of a relaxed structure of Pm4TmTl, from the Alexandria database.

The structure in CIF format:
```
data_Pm4TmTl
_cell_length_a 8.893
_cell_length_b 14.323
_cell_length_c 6.557
_cell_angle_alpha 90.00
_cell_angle_beta 109.56
_cell_angle_gamma 90.00
_symmetry_space_group_name_H-M 'C 1 2/c 1'
_symmetry_Int_Tables_number 15
loop_
_symmetry_equiv_pos_as_xyz
'x,y,z'
'-x,-y,-z'
'-x,y,-z+1/2'
'x,-y,z+1/2'
'x+1/2,y+1/2,z'
'-x+1/2,-y+1/2,-z'
'-x+1/2,y+1/2,-z+1/2'
'x+1/2,-y+1/2,z+1/2'
loop_
_atom_site_label
_atom_site_type_symbol
_atom_site_fract_x
_atom_site_fract_y
_atom_site_fract_z
_atom_site_occupancy
Pm1 Pm 0.097 0.190 0.044 1
Pm2 Pm 0.213 0.380 0.378 1
Tm1 Tm 0.000 0.410 0.750 1
Tl1 Tl 0.000 0.001 0.750 1
```



*two*
The following is a PBE calculation of a relaxed structure of Pm4TmTl, from the Alexandria database.

The structure in CIF format:
```
data_Pm4TmTl
_cell_length_a 3.656
_cell_length_b 3.656
_cell_length_c 14.447
_cell_angle_alpha 90.00
_cell_angle_beta 90.00
_cell_angle_gamma 90.00
_symmetry_space_group_name_H-M 'P 4/m m m'
_symmetry_Int_Tables_number 123
_symmetry_space_group_name_Hall '-P 4 2'
loop_
_atom_site_label
_atom_site_type_symbol
_atom_site_fract_x
_atom_site_fract_y
_atom_site_fract_z
_atom_site_occupancy
Pm1 Pm 0.000 0.000 0.150 1
Pm2 Pm 0.500 0.500 0.328 1
Tm1 Tm 0.000 0.000 0.500 1
Tl1 Tl 0.500 0.500 0.000 1
```



Short version: *two*, *one*, most stable first.



*one*
The following is a PBE calculation of a relaxed structure of Pm3TmTl2, from the Alexandria database.

The structure in CIF format:
```
data_Pm3TmTl2
_cell_length_a 6.673
_cell_length_b 16.854
_cell_length_c 6.643
_cell_angle_alpha 90.00
_cell_angle_beta 90.00
_cell_angle_gamma 90.00
_symmetry_space_group_name_H-M 'I b a m'
_symmetry_Int_Tables_number 72
_symmetry_space_group_name_Hall '-I 2 2c'
loop_
_atom_site_label
_atom_site_type_symbol
_atom_site_fract_x
_atom_site_fract_y
_atom_site_fract_z
_atom_site_occupancy
Pm1 Pm 0.000 0.000 0.250 1
Pm2 Pm 0.247 0.324 0.000 1
Tm1 Tm 0.000 0.500 0.250 1
Tl1 Tl 0.244 0.365 0.500 1
```



*two*
The following is a PBE calculation of a relaxed structure of Pm3TmTl2, from the Alexandria database.

The structure in CIF format:
```
data_Pm3TmTl2
_cell_length_a 5.199
_cell_length_b 10.233
_cell_length_c 6.815
_cell_angle_alpha 90.00
_cell_angle_beta 90.00
_cell_angle_gamma 90.00
_symmetry_space_group_name_H-M 'P m c 21'
_symmetry_Int_Tables_number 26
loop_
_symmetry_equiv_pos_as_xyz
'x,y,z'
'-x,-y,z+1/2'
'-x,y,z'
'x,-y,z+1/2'
loop_
_atom_site_label
_atom_site_type_symbol
_atom_site_fract_x
_atom_site_fract_y
_atom_site_fract_z
_atom_site_occupancy
Pm1 Pm 0.000 0.037 0.000 1
Pm2 Pm 0.000 0.323 0.361 1
Pm3 Pm 0.500 0.189 0.731 1
Tm1 Tm 0.500 0.462 0.087 1
Tl1 Tl 0.000 0.364 0.842 1
Tl2 Tl 0.500 0.139 0.253 1
```



Short version: *two*, *one*, most stable first.



*one*
The following is a PBE calculation of a relaxed structure of PmTmTl, from the Alexandria database.

The structure in CIF format:
```
data_PmTmTl
_cell_length_a 5.4331
_cell_length_b 5.4331
_cell_length_c 6.7796
_cell_angle_alpha 90.00
_cell_angle_beta 90.00
_cell_angle_gamma 120.00
_symmetry_space_group_name_H-M 'P 63/m m c'
_symmetry_Int_Tables_number 194
_symmetry_space_group_name_Hall '-P 6c 2c'
loop_
_atom_site_label
_atom_site_type_symbol
_atom_site_fract_x
_atom_site_fract_y
_atom_site_fract_z
_atom_site_occupancy
Pm1 Pm 0.0000 0.0000 0.0000 1
Tm1 Tm 0.3333 0.6667 0.2500 1
Tl1 Tl 0.3333 0.6667 0.7500 1
```



*two*
The following is a PBE calculation of a relaxed structure of PmTmTl, from the Alexandria database.

The structure in CIF format:
```
data_PmTmTl
_cell_length_a 3.620
_cell_length_b 3.620
_cell_length_c 13.644
_cell_angle_alpha 90.00
_cell_angle_beta 90.00
_cell_angle_gamma 90.00
_symmetry_space_group_name_H-M 'I 4 m m'
_symmetry_Int_Tables_number 107
_symmetry_space_group_name_Hall 'I 4 -2'
loop_
_atom_site_label
_atom_site_type_symbol
_atom_site_fract_x
_atom_site_fract_y
_atom_site_fract_z
_atom_site_occupancy
Pm1 Pm 0.000 0.000 0.000 1
Tm1 Tm 0.000 0.000 0.313 1
Tl1 Tl 0.000 0.000 0.664 1
```



*three*
The following is a PBE calculation of a relaxed structure of PmTmTl, from the Alexandria database.

The structure in CIF format:
```
data_PmTmTl
_cell_length_a 5.2696
_cell_length_b 5.2696
_cell_length_c 3.7590
_cell_angle_alpha 90.00
_cell_angle_beta 90.00
_cell_angle_gamma 120.00
_symmetry_space_group_name_H-M 'P 3 m 1'
_symmetry_Int_Tables_number 156
loop_
_symmetry_equiv_pos_as_xyz
'x,y,z'
'-y,x-y,z'
'-x+y,-x,z'
'-y,-x,z'
'-x+y,y,z'
'x,x-y,z'
loop_
_atom_site_label
_atom_site_type_symbol
_atom_site_fract_x
_atom_site_fract_y
_atom_site_fract_z
_atom_site_occupancy
Pm1 Pm 0.0000 0.0000 0.0000 1
Tm1 Tm 0.6667 0.3333 0.5167 1
Tl1 Tl 0.3333 0.6667 0.4508 1
```



*four*
The following is a PBE calculation of a relaxed structure of PmTmTl, from the Alexandria database.

The structure in CIF format:
```
data_PmTmTl
_cell_length_a 7.386
_cell_length_b 7.386
_cell_length_c 7.386
_cell_angle_alpha 90.00
_cell_angle_beta 90.00
_cell_angle_gamma 90.00
_symmetry_space_group_name_H-M 'F -4 3 m'
_symmetry_Int_Tables_number 216
_symmetry_space_group_name_Hall 'F -4 2 3'
loop_
_atom_site_label
_atom_site_type_symbol
_atom_site_fract_x
_atom_site_fract_y
_atom_site_fract_z
_atom_site_occupancy
Pm1 Pm 0.000 0.000 0.000 1
Tm1 Tm 0.000 0.000 0.500 1
Tl1 Tl 0.250 0.250 0.250 1
```



Short version: *one*, *two*, *three*, *four*, most stable first.



*one*
The following is a PBE calculation of a relaxed structure of Pm2TmTl4, from the Alexandria database.

The structure in CIF format:
```
data_Pm2TmTl4
_cell_length_a 7.310
_cell_length_b 7.310
_cell_length_c 8.134
_cell_angle_alpha 90.00
_cell_angle_beta 90.00
_cell_angle_gamma 90.00
_symmetry_space_group_name_H-M 'I 4/m m m'
_symmetry_Int_Tables_number 139
_symmetry_space_group_name_Hall '-I 4 2'
loop_
_atom_site_label
_atom_site_type_symbol
_atom_site_fract_x
_atom_site_fract_y
_atom_site_fract_z
_atom_site_occupancy
Pm1 Pm 0.000 0.500 0.000 1
Tm1 Tm 0.000 0.000 0.000 1
Tl1 Tl 0.250 0.250 0.250 1
```



*two*
The following is a PBE calculation of a relaxed structure of Pm2TmTl4, from the Alexandria database.

The structure in CIF format:
```
data_Pm2TmTl4
_cell_length_a 7.950
_cell_length_b 10.282
_cell_length_c 5.296
_cell_angle_alpha 90.00
_cell_angle_beta 90.00
_cell_angle_gamma 90.00
_symmetry_space_group_name_H-M 'C m m m'
_symmetry_Int_Tables_number 65
_symmetry_space_group_name_Hall '-C 2 2'
loop_
_atom_site_label
_atom_site_type_symbol
_atom_site_fract_x
_atom_site_fract_y
_atom_site_fract_z
_atom_site_occupancy
Pm1 Pm 0.000 0.211 0.000 1
Tm1 Tm 0.000 0.500 0.500 1
Tl1 Tl 0.210 0.500 0.000 1
Tl2 Tl 0.250 0.250 0.500 1
```



Short version: *two*, *one*, most stable first.